Density functional theory data (PBE-GGA) for crystalline LiFeCuGe at its relaxed geometry.

Unit cell a=4.054 b=4.054 c=4.054 alpha=60.00 beta=60.00 gamma=60.00
Site moments in Bohr magnetons follow the coordinates.
Sites, in units of the cell vectors:
1 Cu 0.500 0.500 0.500  0.05
2 Fe 0.750 0.750 0.750  1.75
3 Ge 0.000 0.000 0.000  -0.07
4 Li 0.250 0.250 0.250  -0.02

As for the calculated volume: 47.1 Å³ per cell. The calculation puts the total magnetization at 0.429 μB per atom. As for the total energy: -4.67 eV/atom. As for the density: 7.01 Mg/m³.